HgRh2Cl (GGA-PBE, relaxed); density of states at the Fermi level = 0.978 states/eV/atom; space-group type = R-3m; relative energy among the computed polymorphs = 18.0 kJ/mol of atoms; E = -0.2864 Ry per atom; formation energy without anion corrections = 317 meV/atom
1.0
1.5214 0.8784 8.2782
-1.5214 0.8784 8.2782
0.0000 -1.7568 8.2782
Hg Rh Cl
1 2 1
Cartesian
0.0000 0.0000 0.0000
0.0000 0.0000 6.0481
0.0000 0.0000 18.7865
0.0000 0.0000 12.4173

=====

Hg3RhCl (GGA-PBE, relaxed); density of states at the Fermi level = 0.591 states/eV/atom; space-group type = Pm-3m; relative energy among the computed polymorphs = 0.0 kJ/mol of atoms; E = -0.1403 Ry per atom; formation energy without anion corrections = 111 meV/atom
1.0
5.2469 0.0000 0.0000
0.0000 5.2469 0.0000
0.0000 0.0000 5.2469
Hg Rh Cl
3 1 1
Cartesian
0.0000 0.0000 2.6235
0.0000 2.6235 0.0000
2.6235 0.0000 0.0000
0.0000 0.0000 0.0000
2.6235 2.6235 2.6235

=====

HgRh3Cl (GGA-PBE, relaxed); density of states at the Fermi level = 1.067 states/eV/atom; space-group type = Pm-3m; relative energy among the computed polymorphs = 0.0 kJ/mol of atoms; E = -0.3095 Ry per atom; formation energy without anion corrections = 629 meV/atom
1.0
4.4399 0.0000 0.0000
0.0000 4.4399 0.0000
0.0000 0.0000 4.4399
Hg Rh Cl
1 3 1
Cartesian
0.0000 0.0000 0.0000
0.0000 2.2199 2.2199
2.2199 0.0000 2.2199
2.2199 2.2199 0.0000
2.2199 2.2199 2.2199

=====

HgRh2Cl (GGA-PBE, relaxed); density of states at the Fermi level = 1.362 states/eV/atom; space-group type = Pm; relative energy among the computed polymorphs = 0.0 kJ/mol of atoms; E = -0.3001 Ry per atom; formation energy without anion corrections = 130 meV/atom
1.0
2.9521 0.0000 0.0000
0.0000 3.4096 0.0000
-0.0085 0.0000 7.5237
Hg Rh Cl
1 2 1
Cartesian
0.0000 0.0000 0.0000
-0.0001 0.0000 3.1577
1.4766 1.7048 1.7365
0.0017 1.7048 4.8333

=====

HgRh2Cl (GGA-PBE, relaxed); density of states at the Fermi level = 1.858 states/eV/atom; space-group type = I-42d; relative energy among the computed polymorphs = 30.6 kJ/mol of atoms; E = -0.2768 Ry per atom; formation energy without anion corrections = 447 meV/atom
1.0
-2.3370 2.3370 7.6918
2.3370 -2.3370 7.6918
2.3370 2.3370 -7.6918
Hg Rh Cl
2 4 2
Cartesian
0.0000 0.0000 0.0000
0.0000 2.3370 3.8459
1.1685 -0.5802 5.7689
1.7567 1.1685 1.9230
1.1685 2.9172 -1.9230
0.5802 1.1685 9.6148
2.3370 0.0000 3.8459
0.0000 0.0000 7.6918

=====

Hg3RhCl (GGA-PBE, relaxed); density of states at the Fermi level = 1.072 states/eV/atom; space-group type = Pm-3m; relative energy among the computed polymorphs = 89.0 kJ/mol of atoms; E = -0.0725 Ry per atom; formation energy without anion corrections = 1034 meV/atom
1.0
5.5199 0.0000 0.0000
0.0000 5.5199 0.0000
0.0000 0.0000 5.5199
Hg Rh Cl
3 1 1
Cartesian
0.0000 0.0000 2.7599
0.0000 2.7599 0.0000
2.7599 0.0000 0.0000
2.7599 2.7599 2.7599
0.0000 0.0000 0.0000

=====

HgRh2Cl (GGA-PBE, relaxed); density of states at the Fermi level = 1.388 states/eV/atom; space-group type = R3m; relative energy among the computed polymorphs = 9.5 kJ/mol of atoms; E = -0.2928 Ry per atom; formation energy without anion corrections = 229 meV/atom
1.0
1.5430 0.8908 8.7784
-1.5430 0.8908 8.7784
0.0000 -1.7817 8.7784
Hg Rh Cl
1 2 1
Cartesian
0.0000 0.0000 0.0000
0.0000 0.0000 12.9523
0.0000 0.0000 19.8144
0.0000 0.0000 5.9406

=====

HgRh3Cl (GGA-PBE, relaxed); density of states at the Fermi level = 1.558 states/eV/atom; space-group type = Pm-3m; relative energy among the computed polymorphs = 100.1 kJ/mol of atoms; E = -0.2333 Ry per atom; formation energy without anion corrections = 1666 meV/atom
1.0
5.0948 0.0000 0.0000
0.0000 5.0948 0.0000
0.0000 0.0000 5.0948
Hg Rh Cl
1 3 1
Cartesian
0.0000 0.0000 0.0000
0.0000 0.0000 2.5474
0.0000 2.5474 0.0000
2.5474 0.0000 0.0000
2.5474 2.5474 2.5474

=====

HgRh2Cl (GGA-PBE, relaxed); density of states at the Fermi level = 1.472 states/eV/atom; space-group type = Imm2; relative energy among the computed polymorphs = 20.4 kJ/mol of atoms; E = -0.2846 Ry per atom; formation energy without anion corrections = 341 meV/atom
1.0
-1.4707 2.3136 5.8357
1.4707 -2.3136 5.8357
1.4707 2.3136 -5.8357
Hg Rh Cl
1 2 1
Cartesian
0.0000 0.0000 0.0000
0.0000 0.0000 5.0963
0.0000 2.3136 1.4517
1.4707 0.0000 3.1382

=====

Hg2Rh2Cl (GGA-PBE, relaxed); density of states at the Fermi level = 1.202 states/eV/atom; space-group type = I4/mmm; E = -0.2326 Ry per atom; formation energy without anion corrections = 266 meV/atom
1.0
-1.8290 1.8290 8.1455
1.8290 -1.8290 8.1455
1.8290 1.8290 -8.1455
Hg Rh Cl
2 2 1
Cartesian
0.0000 0.0000 1.8363
0.0000 0.0000 14.4547
1.8290 0.0000 4.0728
0.0000 1.8290 4.0728
0.0000 0.0000 8.1455

=====

Hg2RhCl8 (GGA-PBE, relaxed); density of states at the Fermi level = 0.462 states/eV/atom; space-group type = C2/m; E = -0.1872 Ry per atom; formation energy without anion corrections = -481 meV/atom
1.0
7.6521 -3.4888 0.0000
7.6521 3.4888 0.0000
-0.4178 0.0000 6.4669
Hg Rh Cl
2 1 8
Cartesian
2.5282 0.0000 0.8505
12.3581 0.0000 5.6164
-0.2089 0.0000 3.2334
1.7663 0.0000 4.4412
6.5120 1.8698 4.6635
8.3743 1.8698 1.8033
4.8667 0.0000 0.5381
10.0196 0.0000 5.9288
6.5120 -1.8698 4.6635
8.3743 -1.8698 1.8033
13.1200 0.0000 2.0257

=====

HgRhS2Cl (GGA-PBE, relaxed); density of states at the Fermi level = 0.878 states/eV/atom; space-group type = P4/mmm; relative energy among the computed polymorphs = 0.0 kJ/mol of atoms; E = -0.2480 Ry per atom; formation energy without anion corrections = 176 meV/atom
1.0
4.6712 0.0000 0.0000
0.0000 4.6712 0.0000
0.0000 0.0000 4.8805
Hg Rh S Cl
1 1 2 1
Cartesian
0.0000 0.0000 0.0000
2.3356 2.3356 2.4403
0.0000 2.3356 2.4403
2.3356 0.0000 2.4403
2.3356 2.3356 0.0000

=====

Ta2HgRhCl (GGA-PBE, relaxed); density of states at the Fermi level = 1.394 states/eV/atom; space-group type = P4/mmm; E = -0.3165 Ry per atom; formation energy without anion corrections = 2335 meV/atom
1.0
5.1459 0.0000 0.0000
0.0000 5.1459 0.0000
0.0000 0.0000 4.8046
Ta Hg Rh Cl
2 1 1 1
Cartesian
0.0000 2.5730 0.0000
2.5730 0.0000 0.0000
0.0000 0.0000 0.0000
2.5730 2.5730 2.4023
0.0000 0.0000 2.4023

=====

Tl2HgRhCl (GGA-PBE, relaxed); density of states at the Fermi level = 0.188 states/eV/atom; space-group type = P4/mmm; E = -0.2292 Ry per atom; formation energy without anion corrections = -272 meV/atom
1.0
5.3122 0.0000 0.0000
0.0000 5.3122 0.0000
0.0000 0.0000 5.2338
Tl Hg Rh Cl
2 1 1 1
Cartesian
0.0000 2.6561 0.0000
2.6561 0.0000 0.0000
0.0000 0.0000 2.6169
0.0000 0.0000 0.0000
2.6561 2.6561 2.6169

=====

TlHg2RhCl (GGA-PBE, relaxed); density of states at the Fermi level = 0.810 states/eV/atom; space-group type = P4/mmm; E = -0.1321 Ry per atom; formation energy without anion corrections = 636 meV/atom
1.0
5.7342 0.0000 0.0000
0.0000 5.7342 0.0000
0.0000 0.0000 5.2508
Tl Hg Rh Cl
1 2 1 1
Cartesian
0.0000 0.0000 0.0000
0.0000 2.8671 0.0000
2.8671 0.0000 0.0000
0.0000 0.0000 2.6254
2.8671 2.8671 2.6254

=====

ZrHgRhCl2 (GGA-PBE, relaxed); density of states at the Fermi level = 0.753 states/eV/atom; space-group type = P4/mmm; E = -0.2932 Ry per atom; formation energy without anion corrections = -11 meV/atom
1.0
4.8183 0.0000 0.0000
0.0000 4.8183 0.0000
0.0000 0.0000 5.1278
Zr Hg Rh Cl
1 1 1 2
Cartesian
0.0000 0.0000 0.0000
2.4091 2.4091 0.0000
0.0000 0.0000 2.5639
0.0000 2.4091 2.5639
2.4091 0.0000 2.5639

=====

HgRuCl2 (GGA-PBE, relaxed); density of states at the Fermi level = 0.441 states/eV/atom; space-group type = Imm2; relative energy among the computed polymorphs = 32.7 kJ/mol of atoms; E = -0.2320 Ry per atom; formation energy without anion corrections = 161 meV/atom
1.0
-1.7017 3.3710 4.5096
1.7017 -3.3710 4.5096
1.7017 3.3710 -4.5096
Hg Ru Cl
1 1 2
Cartesian
0.0000 0.0000 0.0000
1.7017 0.0000 2.1751
0.0000 0.0000 3.6910
0.0000 3.3710 2.4071

=====

HgRuCl2 (GGA-PBE, relaxed); density of states at the Fermi level = 0.765 states/eV/atom; space-group type = Cmm2; relative energy among the computed polymorphs = 29.8 kJ/mol of atoms; E = -0.2343 Ry per atom; formation energy without anion corrections = 130 meV/atom
1.0
1.7813 -2.9408 0.0000
1.7813 2.9408 0.0000
0.0000 0.0000 8.7320
Hg Ru Cl
1 1 2
Cartesian
0.0000 0.0000 0.0000
1.7813 0.0000 6.6310
0.0000 0.0000 5.1426
1.7813 0.0000 1.8857

=====

Hg3RuCl (GGA-PBE, relaxed); density of states at the Fermi level = 1.339 states/eV/atom; space-group type = Pm-3m; relative energy among the computed polymorphs = 0.0 kJ/mol of atoms; E = -0.1455 Ry per atom; formation energy without anion corrections = 426 meV/atom
1.0
5.2902 0.0000 0.0000
0.0000 5.2902 0.0000
0.0000 0.0000 5.2902
Hg Ru Cl
3 1 1
Cartesian
0.0000 0.0000 2.6451
0.0000 2.6451 0.0000
2.6451 0.0000 0.0000
0.0000 0.0000 0.0000
2.6451 2.6451 2.6451

=====

Hg2RuCl (GGA-PBE, relaxed); density of states at the Fermi level = 0.902 states/eV/atom; space-group type = Cmmm; relative energy among the computed polymorphs = 15.0 kJ/mol of atoms; E = -0.1896 Ry per atom; formation energy without anion corrections = 352 meV/atom
1.0
2.2632 -2.2737 0.0000
2.2632 2.2737 0.0000
0.0000 0.0000 7.9305
Hg Ru Cl
2 1 1
Cartesian
0.0000 0.0000 1.7687
0.0000 0.0000 6.1618
2.2632 0.0000 0.0000
2.2632 0.0000 3.9652